CsZn2SiPb at its PBEsol-relaxed geometry, computed with meta-GGA SCAN.

Its density of states at the Fermi level is 3.5 states/eV/cell. The uncorrected formation energy is 0.395 eV per atom. For the density, the calculation gives 5.7 g cm⁻³.

The structure belongs to space group P4/mmm (No. 123); the cell edges are 5.116, 5.116 and 5.509 Å and the angles 90.00°, 90.00° and 90.00°. The asymmetric unit holds Cs at (0.000, 0.000, 0.000), Zn at (0.000, 0.500, 0.500), Si at (0.500, 0.500, 0.500) and Pb at (0.500, 0.500, 0.000).